[1]
Density functional theory data (PBE) for ZrPa3Ge4 after structural relaxation.

The energy comes out at -58.994 eV per formula unit.

a = 3.053 Å, b = 8.051 Å, c = 8.051 Å
α = 81.79°, β = 67.80°, γ = 67.80°
Each line ends with the local moment (μB).
Sites, in units of the cell vectors:
Ge (0.000, 0.744, 0.756)  -0.01
Ge (0.511, 0.744, 0.244)  -0.01
Ge (0.000, 0.256, 0.244)  -0.01
Ge (0.489, 0.256, 0.756)  -0.01
Pa (0.500, 0.000, 0.500)  0.60
Pa (0.000, 0.000, 0.000)  0.25
Pa (0.000, 0.500, 0.500)  0.25
Zr (0.500, 0.500, 0.000)  0.04


[2]
Density functional theory data (PBE) for AcZnBr after structural relaxation.

The formation energy without anion corrections comes out at -3.1 eV/f.u.

a = 4.501 Å, b = 4.501 Å, c = 11.789 Å
α = 89.32°, β = 89.32°, γ = 60.02°
Sites, in units of the cell vectors:
Ac (0.996, 0.996, 0.679)
Ac (0.004, 0.004, 0.321)
Zn (0.667, 0.667, 0.504)
Zn (0.333, 0.333, 0.496)
Br (0.674, 0.674, 0.157)
Br (0.326, 0.326, 0.843)


[3]
Density functional theory data (PBE) for Ce3GaPt6 after structural relaxation.

The energy comes out at -65.258 eV per formula unit.

a = 8.027 Å, b = 6.190 Å, c = 6.190 Å
α = 102.69°, β = 115.61°, γ = 115.61°
Each line ends with the local moment (μB).
Sites, in units of the cell vectors:
Ce (0.364, 0.575, 0.000)  0.25
Ce (0.364, 0.000, 0.575)  0.25
Ce (0.789, 0.425, 0.425)  0.25
Ga (0.214, 0.000, 0.000)  0.00
Pt (0.722, 0.000, 0.702)  -0.02
Pt (0.722, 0.702, 0.000)  -0.02
Pt (0.009, 0.000, 0.560)  -0.02
Pt (0.009, 0.560, 0.000)  -0.02
Pt (0.449, 0.440, 0.440)  -0.02
Pt (0.020, 0.298, 0.298)  -0.02


[4]
Density functional theory data (PBE) for AlAg3Se3 after structural relaxation.

The formation energy without anion corrections comes out at -2.6 eV/f.u.

a = 7.212 Å, b = 7.547 Å, c = 13.096 Å
α = 90.00°, β = 90.00°, γ = 97.08°
Sites, in units of the cell vectors:
Al (0.381, 0.354, 0.573)
Al (0.119, 0.146, 0.073)
Al (0.619, 0.646, 0.427)
Al (0.881, 0.854, 0.927)
Ag (0.566, 0.428, 0.861)
Ag (0.934, 0.072, 0.361)
Ag (0.434, 0.572, 0.139)
Ag (0.066, 0.928, 0.639)
Ag (0.901, 0.376, 0.719)
Ag (0.599, 0.124, 0.219)
Ag (0.099, 0.624, 0.281)
Ag (0.401, 0.876, 0.781)
Ag (0.214, 0.201, 0.801)
Ag (0.286, 0.299, 0.301)
Ag (0.786, 0.799, 0.199)
Ag (0.714, 0.701, 0.699)
Se (0.070, 0.819, 0.080)
Se (0.430, 0.681, 0.580)
Se (0.930, 0.181, 0.920)
Se (0.570, 0.319, 0.420)
Se (0.441, 0.260, 0.060)
Se (0.059, 0.240, 0.560)
Se (0.559, 0.740, 0.940)
Se (0.941, 0.760, 0.440)
Se (0.538, 0.206, 0.709)
Se (0.962, 0.294, 0.209)
Se (0.462, 0.794, 0.291)
Se (0.038, 0.706, 0.791)


[5]
Density functional theory data (PBE) for TaTeN2Cl after structural relaxation.

The formation energy without anion corrections comes out at 11.4 eV/f.u. The excess energy over the best structure of this formula in the dataset comes out at 2016 meV per atom.

a = 4.044 Å, b = 4.044 Å, c = 4.908 Å
α = 90.00°, β = 90.00°, γ = 90.00°
Each line ends with the local moment (μB).
Sites, in units of the cell vectors:
Cl (0.000, 0.000, 0.000)  -0.01
N (0.000, 0.500, 0.000)  0.25
N (0.500, 0.000, 0.000)  0.25
Te (0.000, 0.000, 0.500)  0.03
Ta (0.500, 0.500, 0.500)  -0.76


[6]
Density functional theory data (PBE) for VGe3P after structural relaxation.

The excess energy over the best structure of this formula in the dataset comes out at 0 meV per atom.

a = 4.763 Å, b = 4.763 Å, c = 4.763 Å
α = 90.00°, β = 90.00°, γ = 90.00°
Each line ends with the local moment (μB).
Sites, in units of the cell vectors:
P (0.500, 0.500, 0.500)  0.19
Ge (0.000, 0.500, 0.000)  0.01
Ge (0.000, 0.000, 0.500)  0.01
Ge (0.500, 0.000, 0.000)  0.01
V (0.000, 0.000, 0.000)  0.80


[7]
Density functional theory data (PBE) for BaPbW2S8 after structural relaxation.

The formation energy without anion corrections comes out at -8.9 eV/f.u.

a = 6.464 Å, b = 6.464 Å, c = 9.965 Å
α = 71.07°, β = 71.07°, γ = 60.00°
Sites, in units of the cell vectors:
Ba (0.500, 0.500, 0.500)
Pb (0.000, 0.000, 0.000)
W (0.244, 0.244, 0.268)
W (0.756, 0.756, 0.732)
S (0.165, 0.165, 0.505)
S (0.573, 0.307, 0.194)
S (0.835, 0.835, 0.495)
S (0.925, 0.573, 0.194)
S (0.075, 0.427, 0.806)
S (0.307, 0.925, 0.194)
S (0.693, 0.075, 0.806)
S (0.427, 0.693, 0.806)


[8]
Density functional theory data (PBE) for Th4Sn2Pb after structural relaxation.

The energy comes out at -43.277 eV per formula unit.

a = 4.870 Å, b = 6.009 Å, c = 16.619 Å
α = 90.00°, β = 90.00°, γ = 113.91°
Sites, in units of the cell vectors:
Th (0.841, 0.682, 0.133)
Th (0.841, 0.682, 0.367)
Th (0.159, 0.318, 0.867)
Th (0.159, 0.318, 0.633)
Th (0.853, 0.706, 0.750)
Th (0.147, 0.294, 0.250)
Th (0.500, 0.000, 0.000)
Th (0.500, 0.000, 0.500)
Sn (0.171, 0.342, 0.438)
Sn (0.829, 0.658, 0.938)
Sn (0.171, 0.342, 0.062)
Sn (0.829, 0.658, 0.562)
Pb (0.545, 0.090, 0.750)
Pb (0.455, 0.910, 0.250)